VASP calculation (PBE) on crystalline KRb4Cr3Br12 at its relaxed geometry.

Lattice parameters (Å, degrees): 9.4868 9.4868 9.4868 109.47 109.47 109.47
Closest atoms and distances in Å follow each position.
Atoms (fractional coordinates):
1 K 0.0000 0.0000 0.0000  6 Br 3.01
2 Rb 0.0000 0.0000 0.5000  12 Br 3.87-3.88
3 Rb 0.0000 0.5000 0.0000  12 Br 3.87-3.88
4 Rb 0.5000 0.0000 0.0000  12 Br 3.87-3.88
5 Rb 0.5000 0.5000 0.5000  12 Br 3.87-3.88
6 Cr 0.0000 0.5000 0.5000  6 Br 2.46-2.74
7 Cr 0.5000 0.0000 0.5000  6 Br 2.46-2.74
8 Cr 0.5000 0.5000 0.0000  6 Br 2.46-2.74
9 Br 0.0000 0.2752 0.2752  1 Cr 2.46
10 Br 0.0000 0.7248 0.7248  1 Cr 2.46
11 Br 0.2500 0.5000 0.7500  2 Cr 2.74
12 Br 0.2500 0.7500 0.5000  2 Cr 2.74
13 Br 0.2752 0.0000 0.2752  1 Cr 2.46
14 Br 0.2752 0.2752 0.0000  1 Cr 2.46
15 Br 0.5000 0.2500 0.7500  2 Cr 2.74
16 Br 0.5000 0.7500 0.2500  2 Cr 2.74
17 Br 0.7248 0.0000 0.7248  1 Cr 2.46
18 Br 0.7248 0.7248 0.0000  1 Cr 2.46
19 Br 0.7500 0.2500 0.5000  2 Cr 2.74
20 Br 0.7500 0.5000 0.2500  2 Cr 2.74

E_form (uncorrected), eV per atom: -1.208
Total energy, eV/atom: -3.90